Density functional theory data (PBE) for an optimized crystal structure of SmDyHo2.

Computed properties:
energy of formation from the pure elements = 0.057 eV per formula unit
space group = R3m (160)
energy relative to the lowest polymorph listed for this composition = 0.000 eV per atom

Cell lengths 3.575, 3.575, 11.680 Å; angles 81.20, 81.20, 60.00 degrees
Positions (direct):
Sm 0.500 0.500 0.499
Dy 0.666 0.666 0.001
Ho 0.082 0.082 0.753
Ho 0.251 0.251 0.248